1.
LaTb3Ce2Er6 | PBE | relaxed

Calculated values
energy of formation = 0.06 eV per atom
symmetry = Immm

Cell: 9.3980 9.3981 5.0370 Å, 105.54 105.54 107.44°
With the nearest neighbours (Å) after each atom.
Sites, in units of the cell vectors:
1 La 0.0000 0.0000 0.0000  8 Er 3.57, 4 Tb 3.59
2 Tb 0.1688 0.8312 0.5000  8 Er 3.48-3.60, 2 Ce 3.54, 2 La 3.59
3 Tb 0.8312 0.1688 0.5000  8 Er 3.48-3.60, 2 Ce 3.54, 2 La 3.59
4 Tb 0.5000 0.5000 0.5000  8 Er 3.49-3.54, 4 Ce 3.57
5 Ce 0.3329 0.6671 0.0000  8 Er 3.50-3.54, 4 Tb 3.54-3.57
6 Ce 0.6671 0.3329 0.0000  8 Er 3.50-3.54, 4 Tb 3.54-3.57
7 Er 0.9155 0.5792 0.7474  4 Tb 3.48-3.55, 3 Ce 3.52-3.54, 4 Er 3.54-3.58, 1 La 3.57
8 Er 0.7444 0.7444 0.2444  4 Tb 3.49-3.60, 2 Ce 3.50, 2 La 3.57, 4 Er 3.58
9 Er 0.0845 0.4208 0.2526  4 Tb 3.48-3.55, 3 Ce 3.52-3.54, 4 Er 3.54-3.58, 1 La 3.57
10 Er 0.5792 0.9155 0.7473  4 Tb 3.48-3.55, 3 Ce 3.52-3.54, 4 Er 3.54-3.58, 1 La 3.57
11 Er 0.2556 0.2556 0.7556  4 Tb 3.49-3.60, 2 Ce 3.50, 2 La 3.57, 4 Er 3.58
12 Er 0.4208 0.0845 0.2527  4 Tb 3.48-3.55, 3 Ce 3.52-3.54, 4 Er 3.54-3.58, 1 La 3.57



2.
La4CeEr3Te8 | PBE | relaxed

Calculated values
formation energy (no corrections) = -1.4250 eV/atom
symmetry = R-3m

Cell: 8.9016 8.9926 8.9022 Å, 119.67 120.00 90.00°
With the nearest neighbours (Å) after each atom.
Sites, in units of the cell vectors:
1 La 0.5000 0.0000 0.0000  6 Te 3.19
2 La 0.5000 0.0000 0.5000  6 Te 3.25
3 La 0.0000 0.0000 0.0000  6 Te 3.25
4 La 0.0000 0.0000 0.5000  6 Te 3.25
5 Ce 0.0000 0.5000 0.0000  6 Te 3.14
6 Er 0.5000 0.5000 0.0000  6 Te 3.08
7 Er 0.5000 0.5000 0.5000  6 Te 3.08
8 Er 0.0000 0.5000 0.5000  6 Te 3.08
9 Te 0.2479 0.7341 0.9862  2 Er 3.08, 1 Ce 3.14, 3 La 3.19-3.25
10 Te 0.2479 0.7341 0.4957  2 Er 3.08, 1 Ce 3.14, 3 La 3.19-3.25
11 Te 0.2568 0.2703 0.5135  3 Er 3.08, 3 La 3.25
12 Te 0.7383 0.7341 0.9862  2 Er 3.08, 1 Ce 3.14, 3 La 3.19-3.25
13 Te 0.2617 0.2659 0.0138  2 Er 3.08, 1 Ce 3.14, 3 La 3.19-3.25
14 Te 0.7432 0.7297 0.4864  3 Er 3.08, 3 La 3.25
15 Te 0.7521 0.2659 0.5043  2 Er 3.08, 1 Ce 3.14, 3 La 3.19-3.25
16 Te 0.7521 0.2659 0.0138  2 Er 3.08, 1 Ce 3.14, 3 La 3.19-3.25



3.
La3CeEr3Te8 | PBE | relaxed

Calculated values
formation energy (no corrections) = -1.4388 eV/atom
symmetry = C2/m

Cell: 8.8511 8.8451 8.9112 Å, 119.69 90.00 120.02°
With the nearest neighbours (Å) after each atom.
Sites, in units of the cell vectors:
1 La 0.0000 0.0000 0.0000  6 Te 3.22-3.23
2 La 0.0000 0.5000 0.0000  6 Te 3.22-3.23
3 La 0.5000 0.5000 0.0000  6 Te 3.22-3.23
4 Ce 0.0000 0.0000 0.5000  6 Te 3.23-3.24
5 Er 0.5000 0.0000 0.5000  6 Te 3.06
6 Er 0.5000 0.5000 0.5000  6 Te 3.06
7 Er 0.0000 0.5000 0.5000  6 Te 3.06
8 Te 0.2562 0.5125 0.2687  3 Er 3.06, 3 La 3.22
9 Te 0.7438 0.4875 0.7313  3 Er 3.06, 3 La 3.22
10 Te 0.7425 0.4850 0.2556  2 Er 3.06, 2 La 3.22, 1 Ce 3.24
11 Te 0.2575 0.5150 0.7444  2 Er 3.06, 2 La 3.22, 1 Ce 3.24
12 Te 0.7427 0.0131 0.2559  2 Er 3.06, 2 La 3.23, 1 Ce 3.23
13 Te 0.2573 0.9869 0.7441  2 Er 3.06, 2 La 3.23, 1 Ce 3.23
14 Te 0.2704 0.0131 0.2559  2 Er 3.06, 2 La 3.23, 1 Ce 3.23
15 Te 0.7296 0.9869 0.7441  2 Er 3.06, 2 La 3.23, 1 Ce 3.23



4.
La2CeEr3Te6 | PBE | relaxed

Calculated values
formation energy (no corrections) = -1.3755 eV/atom
symmetry = C2/m

Cell: 4.3780 8.9976 9.9836 Å, 104.72 102.67 90.00°
With the nearest neighbours (Å) after each atom.
Sites, in units of the cell vectors:
1 La 0.8344 0.6682 0.6688  6 Te 3.22-3.24
2 La 0.1656 0.3318 0.3312  6 Te 3.22-3.24
3 Ce 0.5000 0.0000 0.0000  6 Te 3.19-3.21
4 Er 0.5000 0.5000 0.0000  6 Te 3.06-3.07
5 Er 0.8319 0.1653 0.6637  6 Te 3.05-3.06
6 Er 0.1681 0.8347 0.3363  6 Te 3.05-3.06
7 Te 0.3306 0.9287 0.6611  3 Er 3.05-3.06, 1 Ce 3.19, 2 La 3.22
8 Te 0.6626 0.5947 0.3252  3 Er 3.06, 3 La 3.23-3.24
9 Te 0.6694 0.0713 0.3389  3 Er 3.05-3.06, 1 Ce 3.19, 2 La 3.22
10 Te 0.9946 0.2575 0.9893  3 Er 3.06-3.07, 2 Ce 3.21, 1 La 3.22
11 Te 0.0054 0.7425 0.0107  3 Er 3.06-3.07, 2 Ce 3.21, 1 La 3.22
12 Te 0.3374 0.4053 0.6748  3 Er 3.06, 3 La 3.23-3.24